# LiLa3

Crystalline LiLa3 at its relaxed geometry (PBE, Alexandria).

abc: 6.8225 6.8225 6.8225
angles: 147.79 128.57 61.99
Positions (direct):
Li 0.2500 0.7500 0.5000
La 0.0181 0.0181 0.0000
La 0.7500 0.2500 0.5000
La 0.4819 0.4819 0.0000

Summary:
energy of formation = 0.06 eV/atom
DFT total energy = -4.11 eV/atom

# Li2La

Crystalline Li2La at its relaxed geometry (PBE, Alexandria).

abc: 8.6741 8.6741 5.3560
angles: 90.00 90.00 156.72
Positions (direct):
La 0.0009 0.9991 0.0000
La 0.4435 0.5565 0.5000
Li 0.3164 0.6836 0.0000
Li 0.6743 0.3257 0.0000
Li 0.7701 0.2299 0.5000
Li 0.1280 0.8720 0.5000

Summary:
energy of formation = 0.10 eV/atom
DFT total energy = -2.81 eV/atom

# LiLa

Crystalline LiLa at its relaxed geometry (PBE, Alexandria).

abc: 3.7370 3.7369 8.2831
angles: 90.00 90.00 90.00
Positions (direct):
La 0.2500 0.2500 0.6497
La 0.7500 0.7500 0.3503
Li 0.2500 0.2500 0.0793
Li 0.7500 0.7500 0.9207

Summary:
energy of formation = 0.05 eV/atom
DFT total energy = -3.37 eV/atom

# LiLa

Crystalline LiLa at its relaxed geometry (PBE, Alexandria).

abc: 14.5265 3.4673 6.8348
angles: 90.00 90.00 90.00
Positions (direct):
Li 0.8833 0.0000 0.6426
Li 0.1167 0.0000 0.6426
Li 0.3833 0.5000 0.1426
Li 0.6167 0.5000 0.1426
Li 0.0000 0.5000 0.4172
Li 0.5000 0.0000 0.9172
La 0.8101 0.0000 0.1687
La 0.1899 0.0000 0.1687
La 0.3101 0.5000 0.6687
La 0.6899 0.5000 0.6687
La 0.0000 0.5000 0.9622
La 0.5000 0.0000 0.4622

Summary:
energy of formation = 0.15 eV/atom
DFT total energy = -3.27 eV/atom

# LiLa5

Crystalline LiLa5 at its relaxed geometry (PBE, Alexandria).

abc: 9.4011 9.4011 6.0194
angles: 90.00 90.00 157.12
Positions (direct):
La 0.9934 0.0066 0.0000
La 0.3186 0.6814 0.0000
La 0.6525 0.3475 0.0000
La 0.4630 0.5370 0.5000
La 0.7845 0.2155 0.5000
Li 0.1214 0.8786 0.5000

Summary:
energy of formation = 0.07 eV/atom
DFT total energy = -4.35 eV/atom

# Li4La

Crystalline Li4La at its relaxed geometry (PBE, Alexandria).

abc: 6.2810 6.2810 6.2810
angles: 109.47 109.47 109.47
Site moments in Bohr magnetons follow the coordinates.
Positions (direct):
Li 0.5000 0.0000 0.0000  0.05
Li 0.5000 0.5000 0.5000  0.05
Li 0.0000 0.5000 0.0000  0.05
Li 0.0000 0.0000 0.5000  0.05
La 0.0000 0.0000 0.0000  0.75

Summary:
energy of formation = 0.84 eV/atom
DFT total energy = -1.68 eV/atom